Entry 1:
Here is a relaxed structure of MnCdH from the Alexandria database. Energies are from GGA-PBE.

CIF file:
```
data_MnCdH
_space_group_name_H-M_alt 'P 1'
_space_group_IT_number 1
_space_group_name_Hall 'P 1'
_cell_length_a 4.3089
_cell_length_b 2.9763
_cell_length_c 5.9971
_cell_angle_alpha 90.01
_cell_angle_beta 89.85
_cell_angle_gamma 90.03
loop_
_atom_site_label
_atom_site_fract_x
_atom_site_fract_y
_atom_site_fract_z
Cd1 0.0913 0.3289 0.4973
Mn1 0.5629 0.8296 0.7383
H1 0.7420 0.3297 0.7491
Mn2 0.5854 0.8289 0.2731
Cd2 0.1330 0.3287 0.0115
H2 0.7034 0.8300 0.0026
```

Computed properties:
Energy relative to the lowest polymorph listed for this composition ... 0.140 eV/atom
Density of states at the Fermi level ... 2.91 states/eV/cell


Entry 2:
Here is a relaxed structure of RbCu2AgI4 from the Alexandria database. Energies are from GGA-PBE.

CIF file:
```
data_RbCu2AgI4
_space_group_name_H-M_alt 'P 1'
_space_group_IT_number 1
_space_group_name_Hall 'P 1'
_cell_length_a 7.4709
_cell_length_b 7.4826
_cell_length_c 7.4826
_cell_angle_alpha 74.34
_cell_angle_beta 60.05
_cell_angle_gamma 60.05
loop_
_atom_site_label
_atom_site_fract_x
_atom_site_fract_y
_atom_site_fract_z
Rb1 0.0000 0.0000 0.0000
I1 0.4255 0.1577 0.4977
I2 0.9191 0.4977 0.1577
I3 0.0809 0.8423 0.5023
Ag1 0.5000 0.5000 0.5000
Cu1 0.1393 0.3607 0.3607
I4 0.5745 0.5023 0.8423
Cu2 0.8607 0.6393 0.6393
```

Computed properties:
Energy relative to the elements, uncorrected ... -0.479 eV per atom
Density of states at the Fermi level ... 0.00 states/eV/cell